ZnCoPdW (PBE, relaxed); energy above the lowest structure with this stoichiometry = 0 meV per atom; E_form = 0.6 eV/f.u.
1.0
0.000 3.041 3.041
3.041 0.000 3.041
3.041 3.041 0.000
W Co Zn Pd
1 1 1 1
direct
0.500 0.500 0.500
0.750 0.750 0.750
0.000 0.000 0.000
0.250 0.250 0.250